DFT (PBE) results for LaZr2Se2 after structural relaxation.

## Properties
VASP energy = -6.901 eV per atom
magnetic moment = 0.0 μB per formula unit
ΔE_f (raw) = -1103 meV per atom
space group = I4/mmm (139)

The structure in extended XYZ format:
```
5
Lattice="-2.082 -2.617 -2.328 2.426 -3.031 1.238 -4.246 -4.141 4.888" Properties=species:S:1:pos:R:3 pbc="T T T"
Se -0.820 -3.120 0.675
Se -3.082 -6.669 3.122
Zr -3.078 -4.791 1.008
Zr -0.824 -4.998 2.790
La 0.000 0.000 0.000
```

=====

DFT (PBE) results for Nb2AlCrHg after structural relaxation.

## Properties
VASP energy = -5.587 eV per atom
magnetic moment = 0.0 μB per formula unit
calculated formation energy = 1.174 eV per atom
space group = P4/mmm (123)

The structure in extended XYZ format:
```
5
Lattice="4.766 0.000 0.000 0.000 4.337 0.000 0.000 0.000 4.766" Properties=species:S:1:pos:R:3 pbc="T T T"
Cr 0.000 2.168 0.000
Nb 0.000 0.000 2.383
Nb 2.383 0.000 0.000
Hg 2.383 2.168 2.383
Al 0.000 0.000 0.000
```

=====

DFT (PBE) results for NaLi8Pb2 after structural relaxation.

## Properties
VASP energy = -2.373 eV per atom
magnetic moment = 0.0 μB per formula unit
calculated formation energy = -0.187 eV per atom
space group = C2/m (12)

The structure in extended XYZ format:
```
11
Lattice="-2.978 3.464 2.074 -4.924 -3.152 -1.678 4.128 -3.869 6.257" Properties=species:S:1:pos:R:3 pbc="T T T"
Na -1.489 1.732 1.037
Li -1.147 -1.831 1.517
Li -0.101 -0.042 6.035
Li -4.547 1.090 0.751
Li -1.416 0.209 3.684
Li -2.358 -3.766 2.968
Li -3.355 -0.777 -0.355
Li -3.673 -3.515 0.618
Li -2.628 -1.726 5.136
Pb -3.889 -1.139 2.450
Pb 0.115 -2.418 4.203
```

=====

DFT (PBE) results for Ni2Mo2Rh after structural relaxation.

## Properties
VASP energy = -7.677 eV per atom
magnetic moment = 0.0 μB per formula unit
calculated formation energy = 0.438 eV per atom
space group = I4/mmm (139)

The structure in extended XYZ format:
```
5
Lattice="-2.028 -2.362 -2.227 2.882 -2.519 0.047 -1.550 -4.625 3.028" Properties=species:S:1:pos:R:3 pbc="T T T"
Ni 0.017 -2.894 -0.235
Ni -0.713 -6.612 1.083
Mo -1.576 -4.714 -0.145
Mo 0.879 -4.792 0.992
Rh 0.000 0.000 0.000
```